Crystalline CaY2In at its relaxed geometry, computed with GGA-PBE.

Lattice parameters (Å, degrees): 3.7065 3.7065 33.3055 90.00 90.00 120.00
Space group R-3m (No. 166, hexagonal axes)
One atom of each set of equivalent atoms:
Ca  0.0000  0.0000  0.0000 x3
Y  0.0000  0.0000  0.2385 x6
In  0.0000  0.0000  0.5000 x3

For the energy of formation, the calculation gives -2.3 kcal/mol of atoms.